Compound: CsKTcSe2S
Source: OQMD via LeMat-Bulk
Functional: PBE
Structure: optimized geometry

Output
Total magnetic moment = 0.98 μB/f.u.
VASP energy = -0.344 Ry/atom

a b c (Å): 7.1223 7.9392 8.8432
angles (deg): 84.00 67.31 63.42
Last column: nearest neighbours and their distance in Å.
Space group P-1 (No. 2)
Asymmetric unit:
Cs: 0.1006 0.0978 0.1849 (multiplicity 2)  5 Se 3.58-3.73, 2 S 3.70-3.86
K: 0.2930 0.3105 0.6326 (multiplicity 2)  5 Se 3.32-3.59, 1 S 3.49
Tc: 0.4438 0.4421 0.1583 (multiplicity 2)  2 S 2.26-2.27, 2 Se 2.36-2.38
Se: 0.2066 0.6631 0.3911 (multiplicity 2)  1 Tc 2.36
Se: 0.4446 0.8707 0.7571 (multiplicity 2)  1 Tc 2.38
S: 0.2547 0.4996 0.9889 (multiplicity 2)  2 Tc 2.26-2.27

Compound: TaBeCoHg
Source: OQMD via LeMat-Bulk
Functional: PBE
Structure: optimized geometry

Output
Excess energy over the best structure of this formula in the dataset = 0.316 eV per atom
Total magnetic moment = 0.23 μB/f.u.

a b c (Å): 6.1614 6.1614 6.1614
angles (deg): 90.00 90.00 90.00
Last column: nearest neighbours and their distance in Å.
Space group F-43m (No. 216)
Asymmetric unit:
Ta: 0.0000 0.0000 0.0000 (multiplicity 4)  4 Hg 2.67, 4 Be 2.67
Be: 0.2500 0.2500 0.7500 (multiplicity 4)  4 Ta 2.67, 4 Co 2.67
Co: 0.0000 0.0000 0.5000 (multiplicity 4)  4 Hg 2.67, 4 Be 2.67
Hg: 0.2500 0.2500 0.2500 (multiplicity 4)  4 Ta 2.67, 4 Co 2.67